The following is a DFT calculation (PBE) of an optimized crystal structure of BaBeAsSe2.

Cell lengths 6.3125, 6.3125, 6.6335 Å; angles 90.00, 90.00, 90.00 degrees
Site moments in Bohr magnetons follow the coordinates.
Positions (direct):
Be 0.5000 0.5000 0.5000  0.13
As 0.0000 0.0000 0.5000  1.06
Ba 0.0000 0.0000 0.0000  0.05
Se 0.0000 0.5000 0.0000  0.64
Se 0.5000 0.0000 0.0000  0.64

Output
symmetry = No. 123
DFT total energy = -2.38 eV/atom
raw formation energy = 1.0711 eV/atom



The following is a DFT calculation (PBE) of an optimized crystal structure of Ba2BeAsSe.

Cell lengths 6.0550, 4.0842, 6.0550 Å; angles 90.00, 90.00, 90.00 degrees
Positions (direct):
Be 0.0000 0.0000 0.0000
As 0.0000 0.5000 0.0000
Ba 0.0000 0.0000 0.5000
Ba 0.5000 0.0000 0.0000
Se 0.5000 0.5000 0.5000

Output
symmetry = No. 123
DFT total energy = -3.94 eV/atom
raw formation energy = -0.7983 eV/atom



The following is a DFT calculation (PBE) of an optimized crystal structure of BaSrBe2As.

Cell lengths 5.3774, 5.9633, 5.3774 Å; angles 90.00, 90.00, 90.00 degrees
Positions (direct):
Sr 0.5000 0.5000 0.5000
As 0.0000 0.5000 0.0000
Ba 0.0000 0.0000 0.0000
Be 0.0000 0.0000 0.5000
Be 0.5000 0.0000 0.0000

Output
symmetry = No. 123
DFT total energy = -2.16 eV/atom



The following is a DFT calculation (PBE) of an optimized crystal structure of BaTiBe2As.

Cell lengths 4.8529, 4.8903, 4.8529 Å; angles 90.00, 90.00, 90.00 degrees
Site moments in Bohr magnetons follow the coordinates.
Positions (direct):
Be 0.0000 0.0000 0.5000  0.05
Be 0.5000 0.0000 0.0000  0.11
As 0.0000 0.5000 0.0000  -0.04
Ba 0.5000 0.5000 0.5000  0.01
Ti 0.0000 0.0000 0.0000  0.62

Output
symmetry = No. 123
DFT total energy = -4.19 eV/atom



What is the DFT total energy in the third record? -2.16 eV/atom



Which of these has the lowest DFT total energy? BaTiBe2As